Below is a PBEsol-optimized structure of Rb2ReSnSb, with properties calculated at the meta-GGA SCAN level.

## Properties
formation energy (no corrections) = 1.003 eV/atom
calculated total energy = -180.74 eV per cell
spin magnetization = 1.554 μB/f.u.

Unit cell a=6.6473 b=6.6473 c=4.9936 alpha=90.00 beta=90.00 gamma=90.00
Space group P4/mmm (No. 123)
Asymmetric unit:
Rb  0.0000  0.5000  0.0000
Re  0.0000  0.0000  0.5000
Sn  0.5000  0.5000  0.5000
Sb  0.0000  0.0000  0.0000

Below is a PBEsol-optimized structure of Ba3LiP, with properties calculated at the meta-GGA SCAN level.

## Properties
calculated total energy = -134.00 eV per cell
spin magnetization = 1.134 μB/f.u.
calculated formation energy = -0.511 eV/atom

Unit cell a=6.2576 b=6.2576 c=6.2576 alpha=90.00 beta=90.00 gamma=90.00
Space group Pm-3m (No. 221)
Asymmetric unit:
Ba  0.0000  0.0000  0.5000
Li  0.5000  0.5000  0.5000
P  0.0000  0.0000  0.0000

Below is a PBEsol-optimized structure of Te2AuCl, with properties calculated at the meta-GGA SCAN level.

## Properties
formation energy (no corrections) = 0.044 eV/atom
calculated total energy = -151.46 eV per cell
spin magnetization = 0.000 μB/f.u.

Unit cell a=3.6223 b=3.6223 c=7.3187 alpha=90.00 beta=90.00 gamma=90.00
Space group P4/mmm (No. 123)
Asymmetric unit:
Te  0.0000  0.0000  0.1968
Au  0.5000  0.5000  0.0000
Cl  0.5000  0.5000  0.5000

Below is a PBEsol-optimized structure of CuIr2Au, with properties calculated at the meta-GGA SCAN level.

## Properties
energy above the most stable polymorph in this dataset = 0.047 eV/atom
calculated total energy = -676.50 eV per cell
spin magnetization = 0.000 μB/f.u.
calculated formation energy = 0.263 eV/atom

Unit cell a=2.7288 b=2.7288 c=26.4356 alpha=90.00 beta=90.00 gamma=120.00
Space group R-3m (No. 166, hexagonal axes)
Asymmetric unit:
Cu  0.0000  0.0000  0.0000
Ir  0.0000  0.0000  0.2558
Au  0.0000  0.0000  0.5000

The highest calculated total energy belongs to which entry?
Ba3LiP

What did the third record say?
Below is a PBEsol-optimized structure of Te2AuCl, with properties calculated at the meta-GGA SCAN level.

## Properties
formation energy (no corrections) = 0.044 eV/atom
calculated total energy = -151.46 eV per cell
spin magnetization = 0.000 μB/f.u.

Unit cell a=3.6223 b=3.6223 c=7.3187 alpha=90.00 beta=90.00 gamma=90.00
Space group P4/mmm (No. 123)
Asymmetric unit:
Te  0.0000  0.0000  0.1968
Au  0.5000  0.5000  0.0000
Cl  0.5000  0.5000  0.5000

Repeat the fourth record exactly.
Below is a PBEsol-optimized structure of CuIr2Au, with properties calculated at the meta-GGA SCAN level.

## Properties
energy above the most stable polymorph in this dataset = 0.047 eV/atom
calculated total energy = -676.50 eV per cell
spin magnetization = 0.000 μB/f.u.
calculated formation energy = 0.263 eV/atom

Unit cell a=2.7288 b=2.7288 c=26.4356 alpha=90.00 beta=90.00 gamma=120.00
Space group R-3m (No. 166, hexagonal axes)
Asymmetric unit:
Cu  0.0000  0.0000  0.0000
Ir  0.0000  0.0000  0.2558
Au  0.0000  0.0000  0.5000

Which value of spin magnetization does entry 4 give?
0.000 μB/f.u.